No. 1
First-principles (PBE-GGA) data for an optimized crystal structure of AcPuIrPd, as listed in Alexandria.

Unit cell a=5.1153 b=5.1153 c=5.1153 alpha=60.00 beta=60.00 gamma=60.00
With the nearest neighbours (Å) after each atom.
Fractional coordinates of all 4 atoms:
Ac1 0.7500 0.7500 0.7500  4 Ir 3.13, 4 Pd 3.13
Ir1 0.0000 0.0000 0.0000  4 Pu 3.13, 4 Ac 3.13
Pd1 0.5000 0.5000 0.5000  4 Ac 3.13, 4 Pu 3.13
Pu1 0.2500 0.2500 0.2500  4 Pd 3.13, 4 Ir 3.13

Values from the calculation:
- calculated volume (Å³/f.u.) = 94.6
- space-group type = F-43m, No. 216
- total moment (μB per formula unit) = 5.43

No. 2
First-principles (PBE-GGA) data for an optimized crystal structure of Ac6Ir3PdRh2, as listed in Alexandria.

Unit cell a=4.3268 b=8.6026 c=9.6286 alpha=102.57 beta=102.98 gamma=90.00
With the nearest neighbours (Å) after each atom.
Fractional coordinates of all 12 atoms:
Ac1 0.3283 0.9142 0.6565  3 Ir 3.03, 2 Rh 3.05, 1 Pd 3.14
Ac2 0.6667 0.5877 0.3333  3 Ir 3.05, 3 Rh 3.07-3.08
Ac3 0.6717 0.0858 0.3435  3 Ir 3.03, 2 Rh 3.05, 1 Pd 3.14
Ac4 0.0006 0.2605 0.0012  3 Ir 2.98-2.99, 1 Rh 3.02, 2 Pd 3.11
Ac5 0.9994 0.7395 0.9988  3 Ir 2.98-2.99, 1 Rh 3.02, 2 Pd 3.11
Ac6 0.3333 0.4123 0.6667  3 Ir 3.05, 3 Rh 3.07-3.08
Ir1 0.5000 0.5000 0.0000  6 Ac 2.99-3.05
Ir2 0.8376 0.1639 0.6753  6 Ac 2.98-3.05
Ir3 0.1624 0.8361 0.3247  6 Ac 2.98-3.05
Pd1 0.5000 0.0000 0.0000  6 Ac 3.11-3.14
Rh1 0.8345 0.6677 0.6690  6 Ac 3.02-3.08
Rh2 0.1655 0.3323 0.3310  6 Ac 3.02-3.08

Values from the calculation:
- calculated volume (Å³/f.u.) = 340.4
- space-group type = C2/m, No. 12
- total moment (μB per formula unit) = 0.00

| no. | energy of formation from the pure elements (kJ per mole of atoms) |
| --- | --- |
| 1 | -44 |
| 2 | -55 |